# 1
PBE-GGA Cs2RbSn2Br7, optimized geometry; ΔE_f (raw) = -1295 meV/atom
1.0
4.1584 -4.1572 0.0000
4.1584 4.1572 0.0000
-4.1527 0.0000 14.8953
Cs Rb Sn Br
2 1 2 7
direct
0.1830 0.1830 0.3605 Cs
0.8170 0.8170 0.6395 Cs
0.0000 0.0000 0.0000 Rb
0.3998 0.3998 0.8000 Sn
0.6002 0.6002 0.2000 Sn
0.0964 0.5971 0.1913 Br
0.3039 0.3039 0.6034 Br
0.4029 0.9036 0.8087 Br
0.5000 0.5000 0.0000 Br
0.5971 0.0964 0.1913 Br
0.6961 0.6961 0.3966 Br
0.9036 0.4029 0.8087 Br


# 2
PBE-GGA CsRb2SnBr6, optimized geometry; DOS at the Fermi energy = 8.97 states/eV per cell; ΔE_f (raw) = -1247 meV/atom
1.0
0.0000 6.1659 6.1659
6.1659 0.0000 6.1659
6.1659 6.1659 0.0000
Cs Rb Sn Br
1 2 1 6
direct
0.0000 0.0000 0.0000 Cs
0.2500 0.2500 0.2500 Rb
0.7500 0.7500 0.7500 Rb
0.5000 0.5000 0.5000 Sn
0.2737 0.2737 0.7263 Br
0.2737 0.7263 0.2737 Br
0.2737 0.7263 0.7263 Br
0.7263 0.2737 0.2737 Br
0.7263 0.2737 0.7263 Br
0.7263 0.7263 0.2737 Br


no.,calculated total energy (eV/atom)
1,-3.16
2,-2.93